Record 1
Density functional theory data (PBE-GGA) for a relaxed YRe2As crystal.

Calculated values
* symmetry: No. 160
* ΔH_f (0 K): -196 meV/atom

a = 5.7616 Å, b = 5.7616 Å, c = 5.7616 Å
α = 43.11°, β = 43.11°, γ = 43.11°
Closest atoms and distances in Å follow each position.
Fractional coordinates of all 4 atoms:
Y 0.0000 0.0000 0.0000  3 As 2.99, 4 Re 3.17-3.19
Re 0.4906 0.4906 0.4906  3 Re 2.48, 3 As 2.65
Re 0.7973 0.7973 0.7973  3 Re 2.48
As 0.2234 0.2234 0.2234  6 Re 2.65-2.84

Record 2
Density functional theory data (PBE-GGA) for a relaxed CaBPdO5 crystal.

Calculated values
* symmetry: No. 15

a = 5.3785 Å, b = 5.3785 Å, c = 6.9440 Å
α = 104.58°, β = 104.58°, γ = 107.16°
Closest atoms and distances in Å follow each position.
Fractional coordinates of all 16 atoms:
Ca 0.1496 0.8504 0.7500  5 O 2.23-2.34
Ca 0.8504 0.1496 0.2500  5 O 2.23-2.34
B 0.1976 0.8024 0.2500  4 O 1.46-1.53
B 0.8024 0.1976 0.7500  4 O 1.46-1.53
Pd 0.5000 0.5000 0.0000  6 O 1.91-2.08
Pd 0.5000 0.5000 0.5000  6 O 1.91-2.08
O 0.0834 0.2506 0.9115  1 B 1.53
O 0.1745 0.6044 0.3619  1 B 1.46
O 0.2506 0.0834 0.4115  1 B 1.53
O 0.3956 0.8255 0.1381  1 B 1.46
O 0.4072 0.5928 0.7500  2 Pd 1.91
O 0.5928 0.4072 0.2500  2 Pd 1.91
O 0.6044 0.1745 0.8619  1 B 1.46
O 0.7494 0.9166 0.5885  1 B 1.53
O 0.8255 0.3956 0.6381  1 B 1.46
O 0.9166 0.7494 0.0885  1 B 1.53

Record 3
Density functional theory data (PBE-GGA) for a relaxed NaTb4ErS8 crystal.

Calculated values
* symmetry: No. 160

a = 8.0973 Å, b = 8.0973 Å, c = 8.0973 Å
α = 60.27°, β = 60.27°, γ = 60.27°
Closest atoms and distances in Å follow each position.
Fractional coordinates of all 14 atoms:
Na 0.0000 0.0000 0.0000  4 S 2.70-2.71
Tb 0.1112 0.6287 0.6287  6 S 2.70-2.84
Tb 0.2490 0.2490 0.2490  4 S 2.64-2.65
Tb 0.6287 0.1112 0.6287  6 S 2.70-2.84
Tb 0.6287 0.6287 0.1112  6 S 2.70-2.84
Er 0.6290 0.6290 0.6290  6 S 2.67-2.81
S 0.3824 0.3824 0.3824  4 Tb 2.64-2.84
S 0.3845 0.3845 0.8490  3 Tb 2.65-2.84, 1 Er 2.81
S 0.3845 0.8490 0.3845  3 Tb 2.65-2.84, 1 Er 2.81
S 0.4081 0.8615 0.8615  1 Er 2.67, 2 Tb 2.70, 1 Na 2.71
S 0.8490 0.3845 0.3845  3 Tb 2.65-2.84, 1 Er 2.81
S 0.8615 0.4081 0.8615  1 Er 2.67, 2 Tb 2.70, 1 Na 2.71
S 0.8615 0.8615 0.4081  1 Er 2.67, 2 Tb 2.70, 1 Na 2.71
S 0.8636 0.8636 0.8636  3 Tb 2.70, 1 Na 2.70

D(E_F) values, unit states/eV per cell, following the record order: 1.0, 5.4, 0.0.
Calculated total energy values, unit eV for the cell shown, following the record order: -36.79, -102.63, -84.85.